# YTaSe

An optimized crystal structure of YTaSe (PBE, Alexandria via LeMat-Bulk).

Computed properties:
Fermi-level density of states ... 0.9250 states/eV/atom
ΔE to the lowest computed polymorph ... 319.9 meV per atom

Cell lengths 4.4866, 4.4866, 3.8376 Å; angles 90.00, 90.00, 120.00 degrees
Space group P-6m2 (No. 187)
One atom of each set of equivalent atoms:
Y 0.0000 0.0000 0.0000 x1
Ta 0.3333 0.6667 0.5000 x1
Se 0.6667 0.3333 0.5000 x1